A PBEsol-optimized structure of BaY2Te, computed with SCAN.

Lattice parameters (Å, degrees): 4.8016 4.8016 10.7064 90.00 90.00 90.00
Element x y z (fractional)
Ba 0.0000 0.0000 0.0000
Ba 0.5000 0.5000 0.5000
Y 0.0000 0.0000 0.5000
Y 0.0000 0.5000 0.7500
Y 0.5000 0.0000 0.2500
Y 0.5000 0.5000 0.0000
Te 0.0000 0.5000 0.2500
Te 0.5000 0.0000 0.7500

## Properties
Calculated total energy in eV/atom: -33.41
Magnetic moment in μB per atom: 0.58
SG: No. 119

A PBEsol-optimized structure of In2Co, computed with SCAN.

Lattice parameters (Å, degrees): 2.9482 11.9629 3.0711 90.00 90.00 90.00
Element x y z (fractional)
In 0.0000 0.1349 0.0000
In 0.0000 0.8650 0.0000
In 0.5000 0.3650 0.0000
In 0.5000 0.6350 0.0000
Co 0.0000 0.5000 0.5000
Co 0.5000 0.0000 0.5000

## Properties
Magnetic moment in μB per atom: 0.37
Formation enthalpy at 0 K in kJ/mol of atoms: 13.3
SG: No. 65

A PBEsol-optimized structure of TaCoW2, computed with SCAN.

Lattice parameters (Å, degrees): 3.1668 3.1668 5.9205 90.00 90.00 90.00
Element x y z (fractional)
Ta 0.0000 0.0000 0.0000
Co 0.0000 0.0000 0.5000
W 0.5000 0.5000 0.2683
W 0.5000 0.5000 0.7317

## Properties
Magnetic moment in μB per atom: 0.51
Formation enthalpy at 0 K in kJ/mol of atoms: 14.4
SG: No. 123
Energy above the lowest structure with this stoichiometry in eV/atom: 0.167

What did the second record say?
A PBEsol-optimized structure of In2Co, computed with SCAN.

Lattice parameters (Å, degrees): 2.9482 11.9629 3.0711 90.00 90.00 90.00
Element x y z (fractional)
In 0.0000 0.1349 0.0000
In 0.0000 0.8650 0.0000
In 0.5000 0.3650 0.0000
In 0.5000 0.6350 0.0000
Co 0.0000 0.5000 0.5000
Co 0.5000 0.0000 0.5000

## Properties
Magnetic moment in μB per atom: 0.37
Formation enthalpy at 0 K in kJ/mol of atoms: 13.3
SG: No. 65

Which of these has the highest magnetic moment?
BaY2Te

The highest magnetic moment belongs to which entry?
BaY2Te